# 1
VASP calculation (PBE) on crystalline Tl5AsSe at its relaxed geometry.

## Properties
Space-group type   P2_1/m (11)
N(E_F)   2.38 states/eV/cell

Unit cell a=8.133 b=4.367 c=12.922 alpha=90.00 beta=90.12 gamma=90.00
Atoms (fractional coordinates):
Tl 0.055 0.250 0.175
Tl 0.166 0.750 0.589
Tl 0.295 0.750 0.018
Tl 0.330 0.250 0.802
Tl 0.375 0.250 0.384
Tl 0.625 0.750 0.616
Tl 0.670 0.750 0.198
Tl 0.705 0.250 0.982
Tl 0.834 0.250 0.411
Tl 0.945 0.750 0.825
As 0.430 0.250 0.152
As 0.570 0.750 0.848
Se 0.101 0.750 0.357
Se 0.899 0.250 0.643



# 2
VASP calculation (PBE) on crystalline Tl2AsSe at its relaxed geometry.

## Properties
Space-group type   Imm2 (44)
Distance to the lowest polymorph of the same formula   54 meV/atom
N(E_F)   5.02 states/eV/cell

Unit cell a=3.619 b=5.592 c=10.897 alpha=90.00 beta=90.00 gamma=90.00
Atoms (fractional coordinates):
Tl 0.000 0.000 0.000
Tl 0.000 0.500 0.213
Tl 0.500 0.000 0.713
Tl 0.500 0.500 0.500
As 0.000 0.000 0.435
As 0.500 0.500 0.935
Se 0.000 0.500 0.765
Se 0.500 0.000 0.265



# 3
VASP calculation (PBE) on crystalline Tl2AsSe at its relaxed geometry.

## Properties
Space-group type   Cm (8)
Distance to the lowest polymorph of the same formula   1 meV/atom
N(E_F)   2.04 states/eV/cell

Unit cell a=12.341 b=3.679 c=5.451 alpha=90.00 beta=96.86 gamma=90.00
Atoms (fractional coordinates):
Tl 0.000 0.000 0.000
Tl 0.224 0.500 0.566
Tl 0.500 0.500 0.000
Tl 0.724 0.000 0.566
As 0.423 0.000 0.403
As 0.923 0.500 0.403
Se 0.267 0.000 0.099
Se 0.767 0.500 0.099



# 4
VASP calculation (PBE) on crystalline TlAs2Se at its relaxed geometry.

## Properties
Space-group type   I4/mmm (139)
Distance to the lowest polymorph of the same formula   339 meV/atom
N(E_F)   5.84 states/eV/cell

Unit cell a=3.871 b=3.871 c=16.167 alpha=90.00 beta=90.00 gamma=90.00
Atoms (fractional coordinates):
Tl 0.000 0.000 0.000
Tl 0.500 0.500 0.500
As 0.000 0.500 0.250
As 0.000 0.500 0.750
As 0.500 0.000 0.250
As 0.500 0.000 0.750
Se 0.000 0.000 0.500
Se 0.500 0.500 0.000



# 5
VASP calculation (PBE) on crystalline Tl3AsSe3 at its relaxed geometry.

## Properties
Space-group type   P6_3/m (176)
Distance to the lowest polymorph of the same formula   168 meV/atom
N(E_F)   9.19 states/eV/cell

Unit cell a=9.366 b=9.366 c=6.506 alpha=90.00 beta=90.00 gamma=120.00
Atoms (fractional coordinates):
Tl 0.062 0.716 0.250
Tl 0.284 0.346 0.250
Tl 0.346 0.062 0.750
Tl 0.654 0.938 0.250
Tl 0.716 0.654 0.750
Tl 0.938 0.284 0.750
As 0.333 0.667 0.750
As 0.667 0.333 0.250
Se 0.068 0.672 0.750
Se 0.328 0.396 0.750
Se 0.396 0.068 0.250
Se 0.604 0.932 0.750
Se 0.672 0.604 0.250
Se 0.932 0.328 0.250



# 6
VASP calculation (PBE) on crystalline TlAs2Se at its relaxed geometry.

## Properties
Space-group type   R3m (160)
Distance to the lowest polymorph of the same formula   3 meV/atom
N(E_F)   8.56 states/eV/cell

Unit cell a=3.971 b=3.971 c=21.698 alpha=90.00 beta=90.00 gamma=120.00
Atoms (fractional coordinates):
Tl 0.000 0.000 0.000
Tl 0.333 0.667 0.667
Tl 0.667 0.333 0.333
As 0.000 0.000 0.496
As 0.000 0.000 0.770
As 0.333 0.667 0.163
As 0.333 0.667 0.437
As 0.667 0.333 0.103
As 0.667 0.333 0.830
Se 0.000 0.000 0.251
Se 0.333 0.667 0.918
Se 0.667 0.333 0.585



# 7
VASP calculation (PBE) on crystalline TlAs2Se at its relaxed geometry.

## Properties
Space-group type   R-3m (166)
Distance to the lowest polymorph of the same formula   236 meV/atom
N(E_F)   5.55 states/eV/cell

Unit cell a=4.138 b=4.138 c=19.223 alpha=90.00 beta=90.00 gamma=120.00
Atoms (fractional coordinates):
Tl 0.000 0.000 0.000
Tl 0.333 0.667 0.667
Tl 0.667 0.333 0.333
As 0.000 0.000 0.240
As 0.000 0.000 0.760
As 0.333 0.667 0.427
As 0.333 0.667 0.907
As 0.667 0.333 0.093
As 0.667 0.333 0.573
Se 0.000 0.000 0.500
Se 0.333 0.667 0.167
Se 0.667 0.333 0.833



# 8
VASP calculation (PBE) on crystalline TlAs2Se at its relaxed geometry.

## Properties
Space-group type   Pmmm (47)
Distance to the lowest polymorph of the same formula   376 meV/atom
N(E_F)   2.22 states/eV/cell

Unit cell a=3.491 b=4.896 c=5.241 alpha=90.00 beta=90.00 gamma=90.00
Atoms (fractional coordinates):
Tl 0.000 0.000 0.000
As 0.000 0.500 0.500
As 0.500 0.500 0.000
Se 0.500 0.000 0.500



# 9
VASP calculation (PBE) on crystalline Tl2AsSe3 at its relaxed geometry.

## Properties
Space-group type   C2/c (15)
Distance to the lowest polymorph of the same formula   17 meV/atom
N(E_F)   4.52 states/eV/cell

Unit cell a=7.463 b=7.463 c=7.016 alpha=96.18 beta=96.18 gamma=68.62
Atoms (fractional coordinates):
Tl 0.005 0.689 0.828
Tl 0.311 0.995 0.672
Tl 0.689 0.005 0.328
Tl 0.995 0.311 0.172
As 0.427 0.573 0.250
As 0.573 0.427 0.750
Se 0.140 0.860 0.250
Se 0.317 0.386 0.491
Se 0.386 0.317 0.991
Se 0.614 0.683 0.009
Se 0.683 0.614 0.509
Se 0.860 0.140 0.750



# 10
VASP calculation (PBE) on crystalline Tl2AsSe5 at its relaxed geometry.

## Properties
Space-group type   P1 (1)
N(E_F)   1.73 states/eV/cell

Unit cell a=5.219 b=6.887 c=8.250 alpha=69.10 beta=77.81 gamma=86.68
Atoms (fractional coordinates):
Tl 0.000 0.000 0.000
Tl 0.494 0.709 0.631
As 0.218 0.442 0.325
Se 0.058 0.503 0.027
Se 0.063 0.739 0.396
Se 0.457 0.250 0.615
Se 0.623 0.625 0.027
Se 0.899 0.152 0.560



# 11
VASP calculation (PBE) on crystalline TlAs2Se at its relaxed geometry.

## Properties
Space-group type   P2/m (10)
Distance to the lowest polymorph of the same formula   62 meV/atom
N(E_F)   0.72 states/eV/cell

Unit cell a=3.793 b=5.233 c=5.599 alpha=90.00 beta=90.97 gamma=90.00
Atoms (fractional coordinates):
Tl 0.000 0.000 0.000
As 0.256 0.500 0.642
As 0.744 0.500 0.358
Se 0.500 0.000 0.500



# 12
VASP calculation (PBE) on crystalline Tl2AsSe at its relaxed geometry.

## Properties
Space-group type   R3m (160)
Distance to the lowest polymorph of the same formula   129 meV/atom
N(E_F)   5.66 states/eV/cell

Unit cell a=3.720 b=3.720 c=27.164 alpha=90.00 beta=90.00 gamma=120.00
Atoms (fractional coordinates):
Tl 0.000 0.000 0.000
Tl 0.000 0.000 0.229
Tl 0.333 0.667 0.667
Tl 0.333 0.667 0.896
Tl 0.667 0.333 0.333
Tl 0.667 0.333 0.562
As 0.000 0.000 0.750
As 0.333 0.667 0.417
As 0.667 0.333 0.084
Se 0.000 0.000 0.477
Se 0.333 0.667 0.144
Se 0.667 0.333 0.810



# 13
VASP calculation (PBE) on crystalline Tl5AsSe4 at its relaxed geometry.

## Properties
Space-group type   C2/m (12)
Distance to the lowest polymorph of the same formula   0 meV/atom
N(E_F)   0.10 states/eV/cell

Unit cell a=9.545 b=9.545 c=8.399 alpha=107.30 beta=107.30 gamma=25.31
Atoms (fractional coordinates):
Tl 0.000 0.000 0.000
Tl 0.313 0.313 0.182
Tl 0.341 0.341 0.707
Tl 0.659 0.659 0.293
Tl 0.687 0.687 0.818
As 0.000 0.000 0.500
Se 0.152 0.152 0.542
Se 0.482 0.482 0.273
Se 0.518 0.518 0.727
Se 0.848 0.848 0.458



# 14
VASP calculation (PBE) on crystalline Tl5AsSe4 at its relaxed geometry.

## Properties
Space-group type   Pmmn (59)
Distance to the lowest polymorph of the same formula   19 meV/atom

Unit cell a=9.453 b=9.559 c=7.643 alpha=90.00 beta=90.00 gamma=90.00
Atoms (fractional coordinates):
Tl 0.063 0.034 0.243
Tl 0.063 0.466 0.243
Tl 0.250 0.750 0.594
Tl 0.437 0.034 0.243
Tl 0.437 0.466 0.243
Tl 0.563 0.534 0.757
Tl 0.563 0.966 0.757
Tl 0.750 0.250 0.406
Tl 0.937 0.534 0.757
Tl 0.937 0.966 0.757
As 0.250 0.250 0.810
As 0.750 0.750 0.190
Se 0.043 0.250 0.617
Se 0.250 0.534 0.881
Se 0.250 0.966 0.881
Se 0.457 0.250 0.617
Se 0.543 0.750 0.383
Se 0.750 0.034 0.119
Se 0.750 0.466 0.119
Se 0.957 0.750 0.383



# 15
VASP calculation (PBE) on crystalline TlAs2Se at its relaxed geometry.

## Properties
Space-group type   I-42d (122)
Distance to the lowest polymorph of the same formula   305 meV/atom
N(E_F)   4.59 states/eV/cell

Unit cell a=5.788 b=5.788 c=14.537 alpha=90.00 beta=90.00 gamma=90.00
Atoms (fractional coordinates):
Tl 0.000 0.000 0.000
Tl 0.000 0.500 0.250
Tl 0.500 0.000 0.750
Tl 0.500 0.500 0.500
As 0.210 0.250 0.625
As 0.250 0.710 0.875
As 0.250 0.790 0.375
As 0.290 0.250 0.125
As 0.710 0.750 0.125
As 0.750 0.210 0.375
As 0.750 0.290 0.875
As 0.790 0.750 0.625
Se 0.000 0.000 0.500
Se 0.000 0.500 0.750
Se 0.500 0.000 0.250
Se 0.500 0.500 0.000



# 16
VASP calculation (PBE) on crystalline Tl5As2Se6 at its relaxed geometry.

## Properties
Space-group type   P2_1/c (14)
N(E_F)   3.11 states/eV/cell

Unit cell a=4.835 b=13.131 c=13.494 alpha=90.00 beta=90.07 gamma=90.00
Atoms (fractional coordinates):
Tl 0.000 0.000 0.000
Tl 0.000 0.500 0.500
Tl 0.005 0.092 0.761
Tl 0.005 0.150 0.436
Tl 0.005 0.350 0.936
Tl 0.005 0.408 0.261
Tl 0.995 0.592 0.739
Tl 0.995 0.650 0.064
Tl 0.995 0.850 0.564
Tl 0.995 0.908 0.239
As 0.496 0.725 0.382
As 0.496 0.775 0.882
As 0.504 0.225 0.118
As 0.504 0.275 0.618
Se 0.005 0.183 0.177
Se 0.005 0.317 0.677
Se 0.495 0.592 0.892
Se 0.495 0.908 0.392
Se 0.497 0.677 0.554
Se 0.497 0.823 0.054
Se 0.503 0.177 0.946
Se 0.503 0.323 0.446
Se 0.505 0.092 0.608
Se 0.505 0.408 0.108
Se 0.995 0.683 0.323
Se 0.995 0.817 0.823



# 17
VASP calculation (PBE) on crystalline Tl3AsSe3 at its relaxed geometry.

## Properties
Space-group type   C2/m (12)
Distance to the lowest polymorph of the same formula   39 meV/atom

Unit cell a=7.921 b=7.921 c=8.177 alpha=90.10 beta=90.10 gamma=111.78
Atoms (fractional coordinates):
Tl 0.170 0.830 0.000
Tl 0.216 0.784 0.500
Tl 0.363 0.363 0.846
Tl 0.637 0.637 0.154
Tl 0.784 0.216 0.500
Tl 0.830 0.170 0.000
As 0.242 0.242 0.356
As 0.758 0.758 0.644
Se 0.025 0.025 0.726
Se 0.197 0.485 0.202
Se 0.485 0.197 0.202
Se 0.515 0.803 0.798
Se 0.803 0.515 0.798
Se 0.975 0.975 0.274



# 18
VASP calculation (PBE) on crystalline TlAs2Se at its relaxed geometry.

## Properties
Space-group type   Imm2 (44)
Distance to the lowest polymorph of the same formula   174 meV/atom
N(E_F)   3.98 states/eV/cell

Unit cell a=3.715 b=4.179 c=12.989 alpha=90.00 beta=90.00 gamma=90.00
Atoms (fractional coordinates):
Tl 0.000 0.000 0.000
Tl 0.500 0.500 0.500
As 0.000 0.000 0.614
As 0.000 0.500 0.251
As 0.500 0.000 0.751
As 0.500 0.500 0.114
Se 0.000 0.500 0.822
Se 0.500 0.000 0.322



# 19
VASP calculation (PBE) on crystalline Tl2As2Se at its relaxed geometry.

## Properties
Space-group type   P4/mbm (127)
Distance to the lowest polymorph of the same formula   72 meV/atom
N(E_F)   3.73 states/eV/cell

Unit cell a=7.190 b=7.190 c=5.145 alpha=90.00 beta=90.00 gamma=90.00
Atoms (fractional coordinates):
Tl 0.188 0.312 0.000
Tl 0.312 0.812 0.000
Tl 0.688 0.188 0.000
Tl 0.812 0.688 0.000
As 0.127 0.627 0.500
As 0.373 0.127 0.500
As 0.627 0.873 0.500
As 0.873 0.373 0.500
Se 0.000 0.000 0.500
Se 0.500 0.500 0.500



# 20
VASP calculation (PBE) on crystalline TlAsSe4 at its relaxed geometry.

## Properties
Space-group type   F-43m (216)
Distance to the lowest polymorph of the same formula   562 meV/atom
N(E_F)   5.87 states/eV/cell

Unit cell a=5.832 b=5.832 c=5.832 alpha=60.00 beta=60.00 gamma=60.00
Atoms (fractional coordinates):
Tl 0.000 0.000 0.000
As 0.750 0.750 0.750
Se 0.377 0.377 0.377
Se 0.377 0.377 0.870
Se 0.377 0.870 0.377
Se 0.870 0.377 0.377



# 21
VASP calculation (PBE) on crystalline Tl2AsSe at its relaxed geometry.

## Properties
Space-group type   P2/m (10)
Distance to the lowest polymorph of the same formula   168 meV/atom
N(E_F)   1.23 states/eV/cell

Unit cell a=3.089 b=5.626 c=6.033 alpha=90.00 beta=90.42 gamma=90.00
Atoms (fractional coordinates):
Tl 0.213 0.000 0.249
Tl 0.787 0.000 0.751
As 0.500 0.500 0.000
Se 0.500 0.500 0.500



# 22
VASP calculation (PBE) on crystalline Tl14As2Se9 at its relaxed geometry.

## Properties
Space-group type   P-3 (147)
N(E_F)   9.15 states/eV/cell

Unit cell a=9.450 b=9.450 c=10.871 alpha=90.00 beta=90.00 gamma=120.00
Atoms (fractional coordinates):
Tl 0.000 0.000 0.210
Tl 0.000 0.000 0.790
Tl 0.012 0.674 0.409
Tl 0.104 0.423 0.136
Tl 0.319 0.896 0.136
Tl 0.326 0.339 0.409
Tl 0.339 0.012 0.591
Tl 0.423 0.319 0.864
Tl 0.577 0.681 0.136
Tl 0.661 0.988 0.409
Tl 0.674 0.661 0.591
Tl 0.681 0.104 0.864
Tl 0.896 0.577 0.864
Tl 0.988 0.326 0.591
As 0.333 0.667 0.809
As 0.667 0.333 0.191
Se 0.000 0.000 0.500
Se 0.105 0.361 0.862
Se 0.256 0.895 0.862
Se 0.333 0.667 0.580
Se 0.361 0.256 0.138
Se 0.639 0.744 0.862
Se 0.667 0.333 0.420
Se 0.744 0.105 0.138
Se 0.895 0.639 0.138



no.,volume (Å³/cell),raw formation energy (eV per atom),final energy (eV per cell)
1,459.0,-0.14,-41.89
2,220.5,0.00,-25.77
3,245.8,-0.06,-26.19
4,242.2,0.32,-27.78
5,494.3,-0.15,-46.49
6,296.3,-0.02,-45.71
7,285.0,0.21,-42.90
8,89.6,0.35,-13.74
9,360.8,-0.19,-41.99
10,270.7,-0.14,-27.92
11,111.1,0.04,-15.00
12,325.6,0.07,-37.75
13,311.6,-0.29,-33.28
14,690.7,-0.27,-66.19
15,486.9,0.28,-56.10
16,856.7,-0.28,-91.48
17,476.5,-0.28,-48.30
18,201.6,0.15,-29.10
19,266.0,0.08,-34.18
20,140.3,0.53,-17.76
21,104.8,0.11,-12.43
22,840.7,-0.24,-79.67